(1)
Compound: Cs2YPa3O12
Source: Alexandria via LeMat-Bulk
Functional: PBE
Structure: relaxed

Cell: 8.2501 8.2501 19.4394 Å, 90.00 90.00 120.00°
Space group R-3m (No. 166, hexagonal axes)
Symmetry-distinct sites (fractional):
Cs 0.0000 0.0000 0.1348
Y 0.0000 0.0000 0.5000
Pa 0.0000 0.5000 0.0000
O 0.0698 0.5349 0.1021
O 0.0861 0.5431 0.3548

uncorrected formation energy = -2.719 eV per atom
volume = 21.22 Å³ per atom
DOS at the Fermi energy = 0.85 states/eV per atom
total moment = 10.6 μB per cell

***

(2)
Compound: KCu2AgBr8
Source: Alexandria via LeMat-Bulk
Functional: PBE
Structure: relaxed

Cell: 6.7698 6.7698 9.1086 Å, 90.00 90.00 120.00°
Space group P-3 (No. 147)
Symmetry-distinct sites (fractional):
K 0.0000 0.0000 0.0000
Cu 0.3333 0.6667 0.7442
Ag 0.0000 0.0000 0.5000
Br 0.0007 0.3177 0.6815
Br 0.3333 0.6667 0.0038

uncorrected formation energy = -0.421 eV per atom
volume = 30.13 Å³ per atom
DOS at the Fermi energy = 1.27 states/eV per atom
total moment = 0.0 μB per cell

***

(3)
Compound: CsTa2Br
Source: Alexandria via LeMat-Bulk
Functional: PBE
Structure: relaxed

Cell: 7.000 7.000 7.000 Å, 90.00 90.00 90.00°
Space group Fm-3m (No. 225)
Symmetry-distinct sites (fractional):
Cs 0.000 0.000 0.000
Ta 0.250 0.250 0.250
Br 0.000 0.000 0.500

uncorrected formation energy = 2.103 eV per atom
volume = 21.44 Å³ per atom
DOS at the Fermi energy = 1.98 states/eV per atom
total moment = 0.0 μB per cell

***

(4)
Compound: YAu12
Source: Alexandria via LeMat-Bulk
Functional: PBE
Structure: relaxed

Cell: 11.405 11.405 11.405 Å, 90.00 90.00 90.00°
Space group Fm-3m (No. 225)
Symmetry-distinct sites (fractional):
Y 0.000 0.000 0.000
Au 0.000 0.170 0.330

volume = 28.53 Å³ per atom
DOS at the Fermi energy = 0.84 states/eV per atom
formation energy = 0.5182 eV/atom
total moment = 0.0 μB per cell

***

(5)
Compound: La2DyHo12
Source: Alexandria via LeMat-Bulk
Functional: PBE
Structure: relaxed

Cell: 3.540 5.651 24.778 Å, 90.00 90.00 90.00°
Space group Pmmm (No. 47)
Symmetry-distinct sites (fractional):
La 0.000 0.000 0.232
Dy 0.000 0.000 0.500
Ho 0.000 0.500 0.062
Ho 0.000 0.500 0.423
Ho 0.500 0.000 0.085
Ho 0.500 0.000 0.376
Ho 0.500 0.500 0.172
Ho 0.500 0.500 0.303

volume = 33.04 Å³ per atom
DOS at the Fermi energy = 1.64 states/eV per atom
formation energy = 0.1607 eV/atom
total moment = 0.0 μB per cell

***

(6)
Compound: NaGaH4
Source: Alexandria via LeMat-Bulk
Functional: PBE
Structure: relaxed

Cell: 7.072 7.072 6.150 Å, 90.00 90.00 90.00°
Space group I4_1/amd (No. 141, origin choice 2)
Symmetry-distinct sites (fractional):
Na 0.000 0.250 0.375
Ga 0.000 0.250 0.875
H 0.000 0.070 0.718

final energy = -18.422 eV/f.u.
volume = 12.82 Å³ per atom
DOS at the Fermi energy = 0.00 states/eV per atom
total moment = 0.0 μB per cell

***

The lowest DOS at the Fermi energy belongs to which entry? NaGaH4

***

Which of these has the lowest volume? NaGaH4

***

What is the formula in the first record? Cs2YPa3O12